A plane-wave DFT calculation with PBE was carried out for an optimized crystal structure of Mo2RuSe.

Computed properties:
M_tot in μB per formula unit: 0.0
N(E_F) in states/eV per atom: 0.52
ΔE_f (raw) in eV per atom: 0.210
Calculated volume in Å³/cell: 62
Total DFT energy (no corrections) in eV per atom: -8.40

Geometry as CIF:
```
data_Mo2RuSe
_chemical_formula_sum 'Mo2 Ru1 Se1'
_cell_length_a 2.903
_cell_length_b 4.079
_cell_length_c 5.344
_cell_angle_alpha 90.00
_cell_angle_beta 103.04
_cell_angle_gamma 90.00
_space_group_name_H-M_alt 'P 1 2/m 1'
_space_group_IT_number 10
_space_group_name_Hall '-P 2y'
loop_
_atom_site_label
_atom_site_type_symbol
_atom_site_fract_x
_atom_site_fract_y
_atom_site_fract_z
Mo1 Mo 0.052 0.000 0.249
Ru1 Ru 0.500 0.500 0.000
Se1 Se 0.500 0.500 0.500
```

=====

A plane-wave DFT calculation with PBE was carried out for an optimized crystal structure of MoRuSe2.

Computed properties:
M_tot in μB per formula unit: 0.0
Energy above the most stable polymorph in this dataset in meV/atom: 809.1
N(E_F) in states/eV per atom: 1.04
ΔE_f (raw) in eV per atom: 0.640
Calculated volume in Å³/cell: 264
Total DFT energy (no corrections) in eV per atom: -6.13

Geometry as CIF:
```
data_MoRuSe2
_chemical_formula_sum 'Mo4 Ru4 Se8'
_cell_length_a 6.418
_cell_length_b 6.418
_cell_length_c 6.418
_cell_angle_alpha 90.00
_cell_angle_beta 90.00
_cell_angle_gamma 90.00
_space_group_name_H-M_alt 'F -4 3 m'
_space_group_IT_number 216
_space_group_name_Hall 'F -4 2 3'
loop_
_atom_site_label
_atom_site_type_symbol
_atom_site_fract_x
_atom_site_fract_y
_atom_site_fract_z
Mo1 Mo 0.000 0.000 0.000
Ru1 Ru 0.250 0.250 0.750
Se1 Se 0.000 0.000 0.500
Se2 Se 0.250 0.250 0.250
```

=====

A plane-wave DFT calculation with PBE was carried out for an optimized crystal structure of MoRuSe2.

Computed properties:
M_tot in μB per formula unit: 0.0
Energy above the most stable polymorph in this dataset in meV/atom: 103.2
N(E_F) in states/eV per atom: 0.70
ΔE_f (raw) in eV per atom: -0.066
Calculated volume in Å³/cell: 237
Total DFT energy (no corrections) in eV per atom: -6.83

Geometry as CIF:
```
data_MoRuSe2
_chemical_formula_sum 'Mo3 Ru3 Se6'
_cell_length_a 3.0599
_cell_length_b 3.0599
_cell_length_c 29.1836
_cell_angle_alpha 90.00
_cell_angle_beta 90.00
_cell_angle_gamma 120.00
_space_group_name_H-M_alt 'R 3 m'
_space_group_IT_number 160
_space_group_name_Hall 'R 3 -2"'
loop_
_atom_site_label
_atom_site_type_symbol
_atom_site_fract_x
_atom_site_fract_y
_atom_site_fract_z
Mo1 Mo 0.0000 0.0000 0.0000
Ru1 Ru 0.0000 0.0000 0.2558
Se1 Se 0.0000 0.0000 0.5302
Se2 Se 0.0000 0.0000 0.7279
```

=====

A plane-wave DFT calculation with PBE was carried out for an optimized crystal structure of MoRu2Se.

Computed properties:
M_tot in μB per formula unit: 0.0
N(E_F) in states/eV per atom: 1.23
ΔE_f (raw) in eV per atom: 0.466
Calculated volume in Å³/cell: 125
Total DFT energy (no corrections) in eV per atom: -7.75

Geometry as CIF:
```
data_MoRu2Se
_chemical_formula_sum 'Mo2 Ru4 Se2'
_cell_length_a 3.068
_cell_length_b 4.683
_cell_length_c 8.696
_cell_angle_alpha 90.00
_cell_angle_beta 90.00
_cell_angle_gamma 90.00
_space_group_name_H-M_alt 'C m m m'
_space_group_IT_number 65
_space_group_name_Hall '-C 2 2'
loop_
_atom_site_label
_atom_site_type_symbol
_atom_site_fract_x
_atom_site_fract_y
_atom_site_fract_z
Mo1 Mo 0.000 0.000 0.000
Ru1 Ru 0.000 0.500 0.242
Se1 Se 0.000 0.000 0.500
```

=====

A plane-wave DFT calculation with PBE was carried out for an optimized crystal structure of MoRu2Se.

Computed properties:
M_tot in μB per formula unit: 0.0
N(E_F) in states/eV per atom: 0.75
ΔE_f (raw) in eV per atom: 0.131
Calculated volume in Å³/cell: 59
Total DFT energy (no corrections) in eV per atom: -8.09

Geometry as CIF:
```
data_MoRu2Se
_chemical_formula_sum 'Mo1 Ru2 Se1'
_cell_length_a 2.923
_cell_length_b 2.923
_cell_length_c 6.963
_cell_angle_alpha 90.00
_cell_angle_beta 90.00
_cell_angle_gamma 90.00
_space_group_name_H-M_alt 'P 4/m m m'
_space_group_IT_number 123
_space_group_name_Hall '-P 4 2'
loop_
_atom_site_label
_atom_site_type_symbol
_atom_site_fract_x
_atom_site_fract_y
_atom_site_fract_z
Mo1 Mo 0.000 0.000 0.000
Ru1 Ru 0.500 0.500 0.263
Se1 Se 0.000 0.000 0.500
```

=====

A plane-wave DFT calculation with PBE was carried out for an optimized crystal structure of MoRuSe2.

Computed properties:
M_tot in μB per formula unit: 0.0
Energy above the most stable polymorph in this dataset in meV/atom: 52.9
N(E_F) in states/eV per atom: 0.92
ΔE_f (raw) in eV per atom: -0.116
Calculated volume in Å³/cell: 73
Total DFT energy (no corrections) in eV per atom: -6.88

Geometry as CIF:
```
data_MoRuSe2
_chemical_formula_sum 'Mo1 Ru1 Se2'
_cell_length_a 3.002
_cell_length_b 3.002
_cell_length_c 8.144
_cell_angle_alpha 90.00
_cell_angle_beta 90.00
_cell_angle_gamma 90.00
_space_group_name_H-M_alt 'P 4 m m'
_space_group_IT_number 99
_space_group_name_Hall 'P 4 -2'
loop_
_atom_site_label
_atom_site_type_symbol
_atom_site_fract_x
_atom_site_fract_y
_atom_site_fract_z
Mo1 Mo 0.000 0.000 0.000
Ru1 Ru 0.500 0.500 0.246
Se1 Se 0.000 0.000 0.419
Se2 Se 0.500 0.500 0.819
```

=====

A plane-wave DFT calculation with PBE was carried out for an optimized crystal structure of MoRu2Se.

Computed properties:
M_tot in μB per formula unit: 0.0
N(E_F) in states/eV per atom: 0.47
ΔE_f (raw) in eV per atom: 0.174
Calculated volume in Å³/cell: 119
Total DFT energy (no corrections) in eV per atom: -8.04

Geometry as CIF:
```
data_MoRu2Se
_chemical_formula_sum 'Mo2 Ru4 Se2'
_cell_length_a 2.988
_cell_length_b 4.429
_cell_length_c 8.955
_cell_angle_alpha 90.00
_cell_angle_beta 90.00
_cell_angle_gamma 90.00
_space_group_name_H-M_alt 'I m m 2'
_space_group_IT_number 44
_space_group_name_Hall 'I 2 -2'
loop_
_atom_site_label
_atom_site_type_symbol
_atom_site_fract_x
_atom_site_fract_y
_atom_site_fract_z
Mo1 Mo 0.000 0.000 0.000
Ru1 Ru 0.000 0.000 0.552
Ru2 Ru 0.000 0.500 0.773
Se1 Se 0.000 0.500 0.269
```

=====

A plane-wave DFT calculation with PBE was carried out for an optimized crystal structure of MoRu2Se.

Computed properties:
M_tot in μB per formula unit: 0.0
N(E_F) in states/eV per atom: 0.91
ΔE_f (raw) in eV per atom: 0.239
Calculated volume in Å³/cell: 61
Total DFT energy (no corrections) in eV per atom: -7.98

Geometry as CIF:
```
data_MoRu2Se
_chemical_formula_sum 'Mo1 Ru2 Se1'
_cell_length_a 2.934
_cell_length_b 3.718
_cell_length_c 5.564
_cell_angle_alpha 90.00
_cell_angle_beta 90.00
_cell_angle_gamma 90.00
_space_group_name_H-M_alt 'P m m m'
_space_group_IT_number 47
_space_group_name_Hall '-P 2 2'
loop_
_atom_site_label
_atom_site_type_symbol
_atom_site_fract_x
_atom_site_fract_y
_atom_site_fract_z
Mo1 Mo 0.000 0.000 0.000
Ru1 Ru 0.500 0.500 0.240
Se1 Se 0.000 0.000 0.500
```

=====

A plane-wave DFT calculation with PBE was carried out for an optimized crystal structure of MoRu2Se.

Computed properties:
M_tot in μB per formula unit: 0.0
N(E_F) in states/eV per atom: 1.11
ΔE_f (raw) in eV per atom: 0.200
Calculated volume in Å³/cell: 120
Total DFT energy (no corrections) in eV per atom: -8.02

Geometry as CIF:
```
data_MoRu2Se
_chemical_formula_sum 'Mo2 Ru4 Se2'
_cell_length_a 3.984
_cell_length_b 2.887
_cell_length_c 10.448
_cell_angle_alpha 90.00
_cell_angle_beta 90.00
_cell_angle_gamma 90.00
_space_group_name_H-M_alt 'A m m 2'
_space_group_IT_number 38
_space_group_name_Hall 'A 2 -2'
loop_
_atom_site_label
_atom_site_type_symbol
_atom_site_fract_x
_atom_site_fract_y
_atom_site_fract_z
Mo1 Mo 0.000 0.000 0.000
Ru1 Ru 0.000 0.000 0.256
Ru2 Ru 0.500 0.000 0.624
Se1 Se 0.500 0.000 0.391
```

=====

A plane-wave DFT calculation with PBE was carried out for an optimized crystal structure of Mo2RuSe.

Computed properties:
M_tot in μB per formula unit: 0.0
N(E_F) in states/eV per atom: 1.08
ΔE_f (raw) in eV per atom: 0.429
Calculated volume in Å³/cell: 248
Total DFT energy (no corrections) in eV per atom: -8.18

Geometry as CIF:
```
data_Mo2RuSe
_chemical_formula_sum 'Mo8 Ru4 Se4'
_cell_length_a 6.284
_cell_length_b 6.284
_cell_length_c 6.284
_cell_angle_alpha 90.00
_cell_angle_beta 90.00
_cell_angle_gamma 90.00
_space_group_name_H-M_alt 'F -4 3 m'
_space_group_IT_number 216
_space_group_name_Hall 'F -4 2 3'
loop_
_atom_site_label
_atom_site_type_symbol
_atom_site_fract_x
_atom_site_fract_y
_atom_site_fract_z
Mo1 Mo 0.000 0.000 0.000
Mo2 Mo 0.250 0.250 0.250
Ru1 Ru 0.000 0.000 0.500
Se1 Se 0.250 0.250 0.750
```